# PuMg5In6

A relaxed PuMg5In6 crystal (PBE-GGA, Alexandria via LeMat-Bulk).

The value obtained for the electronic total energy is -79.96 eV/cell. Its volume is 23.995 Å³ per atom. Its formation energy is -0.10 eV/atom.

```
data_PuMg5In6
_space_group_name_H-M_alt 'C m m m'
_space_group_IT_number 65
_space_group_name_Hall '-C 2 2'
_cell_length_a 4.839
_cell_length_b 14.442
_cell_length_c 8.240
_cell_angle_alpha 90.00
_cell_angle_beta 90.00
_cell_angle_gamma 90.00
loop_
_atom_site_label
_atom_site_fract_x
_atom_site_fract_y
_atom_site_fract_z
Pu1 0.000 0.000 0.000
Mg1 0.000 0.000 0.500
Mg2 0.000 0.329 0.500
Mg3 0.000 0.332 0.000
In1 0.000 0.169 0.257
In2 0.000 0.500 0.261
```